[1]
Compound: Mg2PtBr
Source: Alexandria
Functional: PBE-GGA
Structure: optimized geometry

Offset from the most stable computed form in meV per atom: 245

Structure (CIF):
```
data_Mg2PtBr
_cell_length_a 6.860
_cell_length_b 7.139
_cell_length_c 3.109
_cell_angle_alpha 90.00
_cell_angle_beta 90.00
_cell_angle_gamma 90.00
_space_group_name_H-M_alt 'C m m m'
_space_group_IT_number 65
_space_group_name_Hall '-C 2 2'
loop_
_atom_site_label
_atom_site_type_symbol
_atom_site_fract_x
_atom_site_fract_y
_atom_site_fract_z
Mg1 Mg 0.250 0.250 0.000
Pt1 Pt 0.000 0.000 0.500
Br1 Br 0.000 0.500 0.500
```

[2]
Compound: La4TcTe
Source: Alexandria
Functional: PBE-GGA
Structure: optimized geometry

Offset from the most stable computed form in meV per atom: 965

Structure (CIF):
```
data_La4TcTe
_cell_length_a 8.925
_cell_length_b 8.925
_cell_length_c 8.925
_cell_angle_alpha 90.00
_cell_angle_beta 90.00
_cell_angle_gamma 90.00
_space_group_name_H-M_alt 'F -4 3 m'
_space_group_IT_number 216
_space_group_name_Hall 'F -4 2 3'
loop_
_atom_site_label
_atom_site_type_symbol
_atom_site_fract_x
_atom_site_fract_y
_atom_site_fract_z
La1 La 0.124 0.124 0.124
Tc1 Tc 0.250 0.250 0.750
Te1 Te 0.000 0.000 0.500
```

[3]
Compound: NaCuH3
Source: Alexandria
Functional: PBE-GGA
Structure: optimized geometry

Offset from the most stable computed form in meV per atom: 1096

Structure (CIF):
```
data_NaCuH3
_cell_length_a 3.794
_cell_length_b 3.794
_cell_length_c 3.794
_cell_angle_alpha 90.00
_cell_angle_beta 90.00
_cell_angle_gamma 90.00
_space_group_name_H-M_alt 'P m -3 m'
_space_group_IT_number 221
_space_group_name_Hall '-P 4 2 3'
loop_
_atom_site_label
_atom_site_type_symbol
_atom_site_fract_x
_atom_site_fract_y
_atom_site_fract_z
Na1 Na 0.000 0.000 0.000
Cu1 Cu 0.500 0.500 0.500
H1 H 0.000 0.000 0.500
```

[4]
Compound: Zr2Zn2As
Source: Alexandria
Functional: PBE-GGA
Structure: optimized geometry

Offset from the most stable computed form in meV per atom: 0
Formation energy in eV per atom: -0.3346

Structure (CIF):
```
data_Zr2Zn2As
_cell_length_a 7.000
_cell_length_b 7.000
_cell_length_c 4.211
_cell_angle_alpha 90.00
_cell_angle_beta 90.00
_cell_angle_gamma 90.00
_space_group_name_H-M_alt 'P 4/m b m'
_space_group_IT_number 127
_space_group_name_Hall '-P 4 2ab'
loop_
_atom_site_label
_atom_site_type_symbol
_atom_site_fract_x
_atom_site_fract_y
_atom_site_fract_z
Zr1 Zr 0.162 0.338 0.000
Zn1 Zn 0.134 0.634 0.500
As1 As 0.000 0.000 0.000
```

[5]
Compound: Zr2FeAs
Source: Alexandria
Functional: PBE-GGA
Structure: optimized geometry

Formation energy in eV per atom: -0.4512

Structure (CIF):
```
data_Zr2FeAs
_cell_length_a 3.352
_cell_length_b 4.114
_cell_length_c 10.320
_cell_angle_alpha 90.00
_cell_angle_beta 90.00
_cell_angle_gamma 90.00
_space_group_name_H-M_alt 'I m m 2'
_space_group_IT_number 44
loop_
_space_group_symop_operation_xyz
'x,y,z'
'-x,-y,z'
'-x,y,z'
'x,-y,z'
'x+1/2,y+1/2,z+1/2'
'-x+1/2,-y+1/2,z+1/2'
'-x+1/2,y+1/2,z+1/2'
'x+1/2,-y+1/2,z+1/2'
loop_
_atom_site_label
_atom_site_type_symbol
_atom_site_fract_x
_atom_site_fract_y
_atom_site_fract_z
Zr1 Zr 0.000 0.000 0.000
Zr2 Zr 0.000 0.500 0.230
Fe1 Fe 0.000 0.000 0.484
As1 As 0.000 0.500 0.803
```

[6]
Compound: Cd2SnSe2
Source: Alexandria
Functional: PBE-GGA
Structure: optimized geometry

Offset from the most stable computed form in meV per atom: 138

Structure (CIF):
```
data_Cd2SnSe2
_cell_length_a 4.101
_cell_length_b 4.101
_cell_length_c 15.155
_cell_angle_alpha 90.00
_cell_angle_beta 90.00
_cell_angle_gamma 90.00
_space_group_name_H-M_alt 'I 4/m m m'
_space_group_IT_number 139
_space_group_name_Hall '-I 4 2'
loop_
_atom_site_label
_atom_site_type_symbol
_atom_site_fract_x
_atom_site_fract_y
_atom_site_fract_z
Cd1 Cd 0.000 0.500 0.250
Sn1 Sn 0.000 0.000 0.000
Se1 Se 0.000 0.000 0.404
```

[7]
Compound: ErPu2HfP4
Source: Alexandria
Functional: PBE-GGA
Structure: optimized geometry

Formation energy in eV per atom: -1.3105

Structure (CIF):
```
data_ErPu2HfP4
_cell_length_a 6.741
_cell_length_b 3.907
_cell_length_c 6.770
_cell_angle_alpha 90.00
_cell_angle_beta 109.56
_cell_angle_gamma 90.00
_space_group_name_H-M_alt 'P 1 2/m 1'
_space_group_IT_number 10
loop_
_space_group_symop_operation_xyz
'x,y,z'
'-x,-y,-z'
'-x,y,-z'
'x,-y,z'
loop_
_atom_site_label
_atom_site_type_symbol
_atom_site_fract_x
_atom_site_fract_y
_atom_site_fract_z
Er1 Er 0.000 0.000 0.000
Pu1 Pu 0.500 0.000 0.500
Pu2 Pu 0.500 0.500 0.000
Hf1 Hf 0.000 0.500 0.500
P1 P 0.238 0.000 0.738
P2 P 0.243 0.500 0.259
```

[8]
Compound: K2TcOsO
Source: Alexandria
Functional: PBE-GGA
Structure: optimized geometry

Structure (CIF):
```
data_K2TcOsO
_cell_length_a 6.569
_cell_length_b 6.569
_cell_length_c 3.686
_cell_angle_alpha 90.00
_cell_angle_beta 90.00
_cell_angle_gamma 90.00
_space_group_name_H-M_alt 'P 4/m m m'
_space_group_IT_number 123
_space_group_name_Hall '-P 4 2'
loop_
_atom_site_label
_atom_site_type_symbol
_atom_site_fract_x
_atom_site_fract_y
_atom_site_fract_z
K1 K 0.000 0.500 0.000
Tc1 Tc 0.000 0.000 0.000
Os1 Os 0.500 0.500 0.500
O1 O 0.000 0.000 0.500
```

[9]
Compound: Cr2NiPt
Source: Alexandria
Functional: PBE-GGA
Structure: optimized geometry

Formation energy in eV per atom: 0.1112

Structure (CIF):
```
data_Cr2NiPt
_cell_length_a 2.6181
_cell_length_b 2.6181
_cell_length_c 25.7032
_cell_angle_alpha 90.00
_cell_angle_beta 90.00
_cell_angle_gamma 120.00
_space_group_name_H-M_alt 'R 3 m'
_space_group_IT_number 160
_space_group_name_Hall 'R 3 -2"'
loop_
_atom_site_label
_atom_site_type_symbol
_atom_site_fract_x
_atom_site_fract_y
_atom_site_fract_z
Cr1 Cr 0.0000 0.0000 0.0000
Cr2 Cr 0.0000 0.0000 0.2500
Ni1 Ni 0.0000 0.0000 0.7432
Pt1 Pt 0.0000 0.0000 0.4980
```

[10]
Compound: ZnHgSbI2
Source: Alexandria
Functional: PBE-GGA
Structure: optimized geometry

Offset from the most stable computed form in meV per atom: 273

Structure (CIF):
```
data_ZnHgSbI2
_cell_length_a 5.990
_cell_length_b 5.990
_cell_length_c 5.709
_cell_angle_alpha 90.00
_cell_angle_beta 90.00
_cell_angle_gamma 90.00
_space_group_name_H-M_alt 'P 4/m m m'
_space_group_IT_number 123
_space_group_name_Hall '-P 4 2'
loop_
_atom_site_label
_atom_site_type_symbol
_atom_site_fract_x
_atom_site_fract_y
_atom_site_fract_z
Zn1 Zn 0.000 0.000 0.000
Hg1 Hg 0.500 0.500 0.500
Sb1 Sb 0.500 0.500 0.000
I1 I 0.000 0.500 0.500
```

[11]
Compound: PPbSe
Source: Alexandria
Functional: PBE-GGA
Structure: optimized geometry

Offset from the most stable computed form in meV per atom: 96

Structure (CIF):
```
data_PPbSe
_cell_length_a 4.0960
_cell_length_b 4.0960
_cell_length_c 4.9626
_cell_angle_alpha 90.00
_cell_angle_beta 90.00
_cell_angle_gamma 120.00
_space_group_name_H-M_alt 'P 3 m 1'
_space_group_IT_number 156
loop_
_space_group_symop_operation_xyz
'x,y,z'
'-y,x-y,z'
'-x+y,-x,z'
'-y,-x,z'
'-x+y,y,z'
'x,x-y,z'
loop_
_atom_site_label
_atom_site_type_symbol
_atom_site_fract_x
_atom_site_fract_y
_atom_site_fract_z
P1 P 0.0000 0.0000 0.0000
Pb1 Pb 0.6667 0.3333 0.3129
Se1 Se 0.3333 0.6667 0.6956
```

[12]
Compound: MnAlZn
Source: Alexandria
Functional: PBE-GGA
Structure: optimized geometry

Formation energy in eV per atom: -0.0624

Structure (CIF):
```
data_MnAlZn
_cell_length_a 4.744
_cell_length_b 2.696
_cell_length_c 6.621
_cell_angle_alpha 90.00
_cell_angle_beta 90.00
_cell_angle_gamma 90.00
_space_group_name_H-M_alt 'P m m a'
_space_group_IT_number 51
loop_
_space_group_symop_operation_xyz
'x,y,z'
'-x,-y,-z'
'-x+1/2,-y,z'
'x+1/2,y,-z'
'x+1/2,-y,-z'
'-x+1/2,y,z'
'-x,y,-z'
'x,-y,z'
loop_
_atom_site_label
_atom_site_type_symbol
_atom_site_fract_x
_atom_site_fract_y
_atom_site_fract_z
Mn1 Mn 0.250 0.000 0.195
Al1 Al 0.250 0.500 0.866
Zn1 Zn 0.000 0.500 0.500
```

| no. | total magnetic moment (μB/f.u.) | density of states at the Fermi level (states/eV/cell) | final energy (eV/atom) |
| --- | --- | --- | --- |
| 1 | 0.0 | 2.5 | -3.287 |
| 2 | 1.5 | 32.2 | -5.074 |
| 3 | 1.0 | 1.0 | -2.072 |
| 4 | 0.6 | 8.7 | -5.193 |
| 5 | 0.3 | 6.0 | -8.003 |
| 6 | 0.0 | 2.9 | -2.609 |
| 7 | 0.2 | 21.3 | -9.413 |
| 8 | 4.4 | 6.8 | -4.589 |
| 9 | 0.0 | 17.9 | -7.656 |
| 10 | 1.3 | 3.9 | -1.279 |
| 11 | 0.0 | 1.9 | -3.987 |
| 12 | 2.3 | 4.5 | -4.791 |